Compound: PmPaPtO6
Source: Alexandria via LeMat-Bulk
Functional: PBE-GGA
Structure: optimized geometry

The energy comes out at -8.01 eV per atom. The value obtained for the formation energy from raw total energies is -2446 meV per atom. The space group is P4_2nm (102). Its spin magnetization is 0.00 Bohr magnetons per cell.

Geometry as POSCAR:
```
PmPaPtO6
1.0
5.045 0.000 0.000
0.000 5.045 0.000
0.000 0.000 10.290
Pt O Pm Pa
2 12 2 2
direct
0.500 0.500 0.833
0.000 0.000 0.333
0.806 0.194 0.185
0.824 0.176 0.491
0.789 0.211 0.822
0.176 0.824 0.491
0.306 0.306 0.685
0.289 0.289 0.322
0.324 0.324 0.991
0.194 0.806 0.185
0.676 0.676 0.991
0.711 0.711 0.322
0.694 0.694 0.685
0.211 0.789 0.822
0.500 0.500 0.503
0.000 0.000 0.003
0.000 0.000 0.669
0.500 0.500 0.169
```



Compound: Tb12Tm5Th2
Source: Alexandria via LeMat-Bulk
Functional: PBE-GGA
Structure: optimized geometry

As for the formation enthalpy at 0 K: 0.02 eV/atom. The energy comes out at -4.86 eV per atom. As for the energy above the most stable polymorph in this dataset: 0.0 meV/atom. The space group is P-1 (2). Its spin magnetization is 0.00 Bohr magnetons per cell.

Geometry as POSCAR:
```
Tb12Tm5Th2
1.0
-0.496 -6.132 0.182
6.547 -1.367 6.572
-10.958 2.020 3.700
Tb Th Tm
12 2 5
direct
0.631 0.948 0.235
0.474 0.210 0.553
0.369 0.052 0.765
0.104 0.156 0.286
0.316 0.476 0.868
0.684 0.524 0.132
0.790 0.688 0.922
0.896 0.844 0.714
0.948 0.418 0.605
0.052 0.582 0.395
0.210 0.312 0.078
0.526 0.790 0.447
0.736 0.105 0.027
0.264 0.895 0.973
0.000 0.000 0.500
0.420 0.631 0.657
0.841 0.262 0.816
0.580 0.369 0.343
0.159 0.738 0.184
```



Compound: In2CuIr
Source: Alexandria via LeMat-Bulk
Functional: PBE-GGA
Structure: optimized geometry

As for the formation enthalpy at 0 K: 0.36 eV/atom. The energy comes out at -4.25 eV per atom. The space group is I-42d (122). Its spin magnetization is 0.00 Bohr magnetons per cell.

Geometry as POSCAR:
```
In2CuIr
1.0
-5.872 -2.424 -3.656
-3.210 -1.790 6.342
-5.702 0.488 1.488
In Ir Cu
4 2 2
direct
0.375 0.379 0.750
0.621 0.125 0.250
0.129 0.625 0.250
0.875 0.871 0.750
0.750 0.250 0.500
0.000 0.000 0.000
0.250 0.750 0.500
0.500 0.500 0.000
```



Compound: LaNd3Y2
Source: Alexandria via LeMat-Bulk
Functional: PBE-GGA
Structure: optimized geometry

As for the formation enthalpy at 0 K: 0.01 eV/atom. The energy comes out at -5.35 eV per atom. As for the energy above the most stable polymorph in this dataset: 0.0 meV/atom. The space group is Fddd (70). Its spin magnetization is 0.00 Bohr magnetons per cell.

Geometry as POSCAR:
```
LaNd3Y2
1.0
7.304 0.000 0.000
-3.652 4.499 -2.532
0.000 0.887 12.102
La Nd Y
2 6 4
direct
0.875 0.000 0.750
0.125 0.000 0.250
0.708 0.667 0.417
0.959 0.667 0.917
0.041 0.333 0.083
0.375 0.000 0.750
0.292 0.333 0.583
0.625 0.000 0.250
0.541 0.332 0.082
0.459 0.668 0.918
0.791 0.332 0.582
0.209 0.668 0.418
```